Computed, not measured: crystalline LiCo2W at its relaxed geometry at the PBE-GGA level of DFT.

Crystal system: monoclinic
Spin magnetization: 0.24 μB/atom
Calculated density: 10.24 g/cm3
Space group: Cm (8)
Total energy: -7.06 eV per atom

```
LiCo2W
1.0
9.025 0.000 0.000
0.000 2.585 0.000
-1.070 0.000 4.293
Li Co W
2 4 2
Cartesian
0.000 0.000 0.000
4.513 1.292 0.000
-0.235 1.292 2.256
1.309 0.000 3.574
4.278 0.000 2.256
5.821 1.292 3.574
2.184 1.292 1.497
6.697 0.000 1.497
```